A plane-wave DFT calculation with PBE-GGA was carried out for Ti3HgN after structural relaxation.

a b c (Å): 3.0170 7.1212 7.3894
angles (deg): 82.10 89.41 78.00
Atoms (fractional coordinates):
Ti 0.0000 0.0000 0.0000
Ti 0.0412 0.8993 0.3795
Ti 0.3874 0.2208 0.2761
Ti 0.5861 0.7910 0.7402
Ti 0.6689 0.6504 0.1420
Ti 0.9060 0.1595 0.6323
Hg 0.2266 0.5171 0.5045
Hg 0.2840 0.3980 0.9062
N 0.4785 0.0176 0.5281
N 0.5232 0.9445 0.1840

Results
VASP energy ... -7.20 eV per atom